# 1
A geometry-optimized Ti7ZnCo4 structure, computed with PBE.

Cell lengths 4.7552, 6.9358, 6.3492 Å; angles 72.70, 68.01, 69.95 degrees
Element x y z (fractional)
Ti 0.7829 0.8890 0.5453
Ti 0.2171 0.1110 0.4547
Ti 0.0635 0.6059 0.2671
Ti 0.9365 0.3941 0.7329
Ti 0.2873 0.6646 0.7609
Ti 0.5000 0.0000 0.0000
Ti 0.7127 0.3354 0.2391
Zn 0.0000 0.0000 0.0000
Co 0.5574 0.2518 0.6335
Co 0.4426 0.7482 0.3665
Co 0.7008 0.6487 0.9496
Co 0.2992 0.3513 0.0504

Results
Magnetization ... 0.000 Bohr magnetons per cell
Space group ... C2/m
Density of states at the Fermi level ... 15.09 states/eV/cell

=====

# 2
A geometry-optimized Ti7Zn2Co2 structure, computed with PBE.

Cell lengths 5.7636, 5.8485, 5.7636 Å; angles 90.00, 106.79, 90.00 degrees
Element x y z (fractional)
Ti 0.0000 0.2554 0.5000
Ti 0.5000 0.7446 0.0000
Ti 0.0000 0.7446 0.5000
Ti 0.5000 0.2554 0.0000
Ti 0.0000 0.0000 0.0000
Ti 0.5000 0.7467 0.5000
Ti 0.5000 0.2533 0.5000
Zn 0.8280 0.5000 0.8280
Zn 0.1720 0.5000 0.1720
Co 0.7155 0.0000 0.2845
Co 0.2845 0.0000 0.7155

Results
Magnetization ... 0.011 Bohr magnetons per cell
Space group ... Cmmm
Density of states at the Fermi level ... 14.05 states/eV/cell

=====

# 3
A geometry-optimized TiZnCo3 structure, computed with PBE.

Cell lengths 4.2688, 4.2688, 4.2688 Å; angles 90.00, 90.00, 90.00 degrees
Last column: magnetic moment on the atom in μB.
Element x y z (fractional)
Zn 0.0000 0.0000 0.0000  -0.07
Co 0.0000 0.5000 0.0000  1.24
Co 0.0000 0.0000 0.5000  1.47
Co 0.5000 0.0000 0.0000  1.19
Ti 0.5000 0.5000 0.5000  -1.12

Results
Magnetization ... 2.207 Bohr magnetons per cell
Space group ... Pm-3m
Density of states at the Fermi level ... 5.48 states/eV/cell

=====

Number 1: E_form -0.03 eV per atom. Number 2: E_form 0.09 eV per atom. Number 3: E_form 0.94 eV per atom.